Record 1
La2NbTc: relaxed, PBE.

abc: 5.172 5.172 5.172
angles: 60.00 60.00 60.00
Site moments in Bohr magnetons follow the coordinates.
Atoms (fractional coordinates):
Nb: 0.000 0.000 0.000  1.70
Tc: 0.500 0.500 0.500  0.60
La: 0.250 0.250 0.250  0.15
La: 0.750 0.750 0.750  0.15

Output
SG   No. 225
Final energy   -7.0131 eV per atom
N(E_F)   5.1 states/eV/cell
Formation enthalpy at 0 K   0.56 eV/atom

***

Record 2
LaNb3Tc: relaxed, PBE.

abc: 4.928 4.928 4.928
angles: 90.00 90.00 90.00
Atoms (fractional coordinates):
Nb: 0.000 0.500 0.000
Nb: 0.000 0.000 0.500
Nb: 0.500 0.000 0.000
Tc: 0.000 0.000 0.000
La: 0.500 0.500 0.500

Output
SG   No. 221
Final energy   -8.4477 eV per atom
N(E_F)   7.6 states/eV/cell
Formation enthalpy at 0 K   0.65 eV/atom

***

Record 3
La2NbTc: relaxed, PBE.

abc: 8.409 8.409 6.607
angles: 50.47 50.47 90.00
Atoms (fractional coordinates):
Nb: 0.500 0.500 0.000
Nb: 0.250 0.750 0.500
Tc: 0.000 0.000 0.000
Tc: 0.750 0.250 0.500
La: 0.684 0.125 0.250
La: 0.066 0.625 0.250
La: 0.375 0.316 0.750
La: 0.875 0.934 0.750

Output
SG   No. 122
Final energy   -6.8252 eV per atom
N(E_F)   12.2 states/eV/cell
Formation enthalpy at 0 K   0.75 eV/atom

***

Record 4
La2Nb2Tc: relaxed, PBE.

abc: 3.936 3.936 8.224
angles: 76.16 76.16 90.00
Atoms (fractional coordinates):
Nb: 0.427 0.427 0.146
Nb: 0.573 0.573 0.854
Tc: 0.000 0.000 0.000
La: 0.750 0.250 0.500
La: 0.250 0.750 0.500

Output
SG   No. 139
Final energy   -6.9346 eV per atom
N(E_F)   5.3 states/eV/cell
Formation enthalpy at 0 K   1.14 eV/atom

***

What is the formula in the first record?
La2NbTc